Material: BaHgCl
Method: DFT, PBE-GGA
State: optimized geometry

The structure belongs to space group P4/nmm (No. 129, origin choice 2); the cell edges are 4.944, 4.944 and 8.735 Å and the angles 90.00°, 90.00° and 90.00°. The asymmetric unit holds Ba at (0.250, 0.250, 0.220), Hg at (0.250, 0.250, 0.609) and Cl at (0.250, 0.750, 0.000).

For the offset from the most stable computed form, the calculation gives 0.0 meV/atom. The energy relative to the elements, uncorrected comes out at -1359.5 meV/atom.

=====

Material: La2InRhC
Method: DFT, PBE-GGA
State: optimized geometry

The structure belongs to space group P4/mmm (No. 123); the cell edges are 5.448, 5.448 and 3.958 Å and the angles 90.00°, 90.00° and 90.00°. The asymmetric unit holds La at (0.000, 0.500, 0.000), In at (0.000, 0.000, 0.500), Rh at (0.500, 0.500, 0.500) and C at (0.500, 0.500, 0.000).

Its final energy is -31.1 eV/f.u.

=====

Material: HgGe2Ru
Method: DFT, PBE-GGA
State: optimized geometry

The structure belongs to space group I-42d (No. 122); the cell edges are 4.329, 4.329 and 16.698 Å and the angles 90.00°, 90.00° and 90.00°. The asymmetric unit holds Hg at (0.000, 0.000, 0.000), Ge at (0.187, 0.250, 0.625) and Ru at (0.000, 0.000, 0.500).

Its final energy is -17.5 eV/f.u.

=====

Material: Rb2HgTeCl6
Method: DFT, PBE-GGA
State: optimized geometry

The structure belongs to space group I4/mmm (No. 139); the cell edges are 8.014, 8.014 and 11.318 Å and the angles 90.00°, 90.00° and 90.00°. The asymmetric unit holds Rb at (0.000, 0.500, 0.250), Hg at (0.000, 0.000, 0.000), Te at (0.000, 0.000, 0.500), Cl at (0.000, 0.000, 0.271) and Cl at (0.229, 0.229, 0.500).

The energy relative to the elements, uncorrected comes out at -1078.8 meV/atom.

=====

Material: BaReSe2
Method: DFT, PBE-GGA
State: optimized geometry

The structure belongs to space group P4/mmm (No. 123); the cell edges are 3.314, 3.314 and 7.793 Å and the angles 90.00°, 90.00° and 90.00°. The asymmetric unit holds Ba at (0.000, 0.000, 0.000), Re at (0.000, 0.000, 0.500) and Se at (0.500, 0.500, 0.310).

For the offset from the most stable computed form, the calculation gives 557.6 meV/atom. The energy relative to the elements, uncorrected comes out at 55.3 meV/atom.

=====

Material: SrCuC2
Method: DFT, PBE-GGA
State: optimized geometry

The structure belongs to space group I4_1/amd (No. 141, origin choice 2); the cell edges are 4.200, 4.200 and 13.229 Å and the angles 90.00°, 90.00° and 90.00°. The asymmetric unit holds Sr at (0.000, 0.250, 0.375), Cu at (0.000, 0.250, 0.875) and C at (0.000, 0.000, 0.000).

Its final energy is -20.0 eV/f.u.

=====

Material: GaCo3Si
Method: DFT, PBE-GGA
State: optimized geometry

The structure belongs to space group Pm-3m (No. 221); the cell edges are 4.136, 4.136 and 4.136 Å and the angles 90.00°, 90.00° and 90.00°. The asymmetric unit holds Ga at (0.000, 0.000, 0.000), Co at (0.000, 0.500, 0.500) and Si at (0.500, 0.500, 0.500).

For the offset from the most stable computed form, the calculation gives 578.1 meV/atom. The energy relative to the elements, uncorrected comes out at 445.3 meV/atom.

=====

Material: FeP2Os
Method: DFT, PBE-GGA
State: optimized geometry

The structure belongs to space group Immm (No. 71); the cell edges are 2.860, 4.878 and 7.387 Å and the angles 90.00°, 90.00° and 90.00°. The asymmetric unit holds Fe at (0.000, 0.000, 0.000), P at (0.000, 0.500, 0.265) and Os at (0.000, 0.000, 0.500).

For the offset from the most stable computed form, the calculation gives 575.0 meV/atom.

=====

Material: BaTaCu
Method: DFT, PBE-GGA
State: optimized geometry

The structure belongs to space group P1 (No. 1); the cell edges are 3.642, 4.031 and 11.624 Å and the angles 99.85°, 90.09° and 90.01°. The asymmetric unit holds Ba at (0.000, 0.000, 0.000), Ba at (0.499, 0.669, 0.335), Ta at (0.236, 0.377, 0.756), Ta at (0.735, 0.291, 0.580), Cu at (0.211, 0.796, 0.590) and Cu at (0.711, 0.873, 0.746).

For the offset from the most stable computed form, the calculation gives 116.6 meV/atom.

=====

Material: NaPrHo
Method: DFT, PBE-GGA
State: optimized geometry

The structure belongs to space group P3m1 (No. 156); the cell edges are 3.5945, 3.5945 and 9.2672 Å and the angles 90.00°, 90.00° and 120.00°. The asymmetric unit holds Na at (0.0000, 0.0000, 0.0000), Pr at (0.3333, 0.6667, 0.6454) and Ho at (0.6667, 0.3333, 0.3426).

For the offset from the most stable computed form, the calculation gives 0.0 meV/atom.

=====

Material: Ce2NbAs4Rh3
Method: DFT, PBE-GGA
State: optimized geometry

The structure belongs to space group P-4m2 (No. 115); the cell edges are 4.356, 4.356 and 10.051 Å and the angles 90.00°, 90.00° and 90.00°. The asymmetric unit holds Ce at (0.000, 0.500, 0.234), Nb at (0.000, 0.000, 0.500), As at (0.000, 0.000, 0.000), As at (0.000, 0.500, 0.640), As at (0.500, 0.500, 0.000), Rh at (0.000, 0.500, 0.885) and Rh at (0.500, 0.500, 0.500).

Its final energy is -71.2 eV/f.u.

=====

Material: MnMoN2
Method: DFT, PBE-GGA
State: optimized geometry

The structure belongs to space group R-3m (No. 166, hexagonal axes); the cell edges are 2.9616, 2.9616 and 18.6315 Å and the angles 90.00°, 90.00° and 120.00°. The asymmetric unit holds Mn at (0.0000, 0.0000, 0.0000), Mo at (0.0000, 0.0000, 0.5000) and N at (0.0000, 0.0000, 0.1018).

The energy relative to the elements, uncorrected comes out at -19.0 meV/atom.